# 1
Density functional theory data (PBE) for a relaxed BaMn2W crystal.

abc: 3.6883 4.6061 4.7777
angles: 90.00 90.00 90.00
Last column: nearest neighbours and their distance in Å.
Sites, in units of the cell vectors:
Ba (0.0000, 0.0000, 0.0000)  4 Mn 2.95, 4 W 3.02
Mn (0.0000, 0.5000, 0.5000)  4 W 2.95, 4 Mn 3.02
Mn (0.5000, 0.5000, 0.0000)  4 Ba 2.95, 4 Mn 3.02
W (0.5000, 0.0000, 0.5000)  4 Mn 2.95, 4 Ba 3.02

Output
Energy of formation, eV/atom: 1.4519
Crystal system: orthorhombic
M_tot, μB/cell: 7.1
Offset from the most stable computed form, eV per atom: 0.863


# 2
Density functional theory data (PBE) for a relaxed Ba2MnW crystal.

abc: 11.4355 11.4355 11.4355
angles: 16.97 16.97 16.97
Last column: nearest neighbours and their distance in Å.
Sites, in units of the cell vectors:
Ba (0.2471, 0.2471, 0.2471)  3 W 3.35, 6 Ba 3.38, 3 Mn 3.51
Ba (0.7529, 0.7529, 0.7529)  3 W 3.35, 6 Ba 3.38, 3 Mn 3.51
Mn (0.0000, 0.0000, 0.0000)  6 Mn 3.38, 6 Ba 3.51
W (0.5000, 0.5000, 0.5000)  6 Ba 3.35, 6 W 3.38

Output
Energy of formation, eV/atom: 1.4856
Crystal system: trigonal
M_tot, μB/cell: 4.1
Offset from the most stable computed form, eV per atom: 0.742